No. 1
MgNbIr: relaxed, GGA-PBE.

Geometry as POSCAR:
```
MgNbIr
1.0
6.240 0.000 2.847
2.198 6.836 3.443
0.141 0.398 7.952
Mg Nb Ir
6 6 6
Cartesian
1.219 0.491 4.917 Mg
6.852 6.743 9.094 Mg
3.771 5.320 5.657 Mg
2.844 1.914 7.689 Mg
5.845 3.456 11.261 Mg
2.196 3.778 2.736 Mg
0.049 0.000 0.022 Nb
1.219 3.617 5.720 Nb
5.591 2.748 6.352 Nb
4.561 4.486 8.609 Nb
3.426 0.977 2.835 Nb
6.726 6.256 12.125 Nb
5.383 1.951 8.901 Ir
6.350 5.283 6.780 Ir
0.967 1.294 2.079 Ir
4.543 5.940 10.763 Ir
3.433 2.507 4.936 Ir
2.078 4.726 7.906 Ir
```

=====

No. 2
Mg2NbIr3: relaxed, GGA-PBE.

Geometry as POSCAR:
```
Mg2NbIr3
1.0
-2.503 2.831 -2.440
-6.208 0.955 3.331
2.402 4.797 3.100
Mg Nb Ir
4 2 6
Cartesian
0.000 0.000 0.000 Mg
1.201 2.398 1.550 Mg
-1.707 3.660 1.851 Mg
-4.602 4.923 2.140 Mg
-2.845 1.267 0.243 Nb
-5.866 2.519 0.648 Nb
-2.369 6.304 1.452 Ir
-0.651 2.615 -0.445 Ir
-3.940 2.278 2.539 Ir
-3.603 3.841 -0.141 Ir
-2.707 4.742 4.131 Ir
0.549 5.012 1.104 Ir
```

=====

No. 3
MgNb2Ir9: relaxed, GGA-PBE.

Geometry as POSCAR:
```
MgNb2Ir9
1.0
3.930 0.000 0.000
0.000 3.930 0.000
0.000 0.000 11.714
Mg Nb Ir
1 2 9
Cartesian
0.000 0.000 0.000 Mg
0.000 0.000 3.841 Nb
0.000 0.000 7.873 Nb
1.965 1.965 0.000 Ir
1.965 1.965 3.919 Ir
1.965 1.965 7.794 Ir
1.965 0.000 1.964 Ir
1.965 0.000 5.857 Ir
1.965 0.000 9.750 Ir
0.000 1.965 1.964 Ir
0.000 1.965 5.857 Ir
0.000 1.965 9.750 Ir
```

=====

No. 4
Mg2NbIr | the Alexandria database | GGA-PBE | relaxed; energy above the most stable polymorph in this dataset = 0.212 eV/atom
1.0
-0.576 -0.131 7.574
2.878 -7.030 0.097
3.590 -2.579 4.039
Nb Ir Mg
2 2 4
Cartesian
1.151 -3.581 3.836 Nb
3.809 -6.595 3.986 Nb
0.000 0.000 0.000 Ir
2.082 -3.146 7.724 Ir
0.875 -1.611 6.046 Mg
2.646 -5.050 1.726 Mg
3.445 -4.350 5.902 Mg
4.817 -8.471 9.745 Mg

=====

The records above yield total DFT energy (no corrections) values of -7.137 -7.145 -8.911 -5.136 eV per atom, respectively.